[1]
# Ta2ZnSe

A relaxed structure of Ta2ZnSe (PBE, Alexandria).

Geometry as POSCAR:
```
Ta2ZnSe
1.0
3.5908 0.0000 0.0000
0.0000 4.7308 0.0000
0.0000 0.0000 9.2434
Ta Zn Se
4 2 2
Cartesian
0.0000 0.0000 0.0000
0.0000 2.3654 2.1548
1.7954 0.0000 2.1548
1.7954 2.3654 0.0000
0.0000 0.0000 4.1579
1.7954 2.3654 4.1579
0.0000 2.3654 7.3131
1.7954 0.0000 7.3131
```

raw formation energy = 0.01 eV/atom
space-group type = Cmm2



[2]
# Na3CePu3Se8

A relaxed structure of Na3CePu3Se8 (PBE, Alexandria).

Geometry as POSCAR:
```
Na3CePu3Se8
1.0
4.2176 2.4350 6.9294
-4.2176 2.4350 6.9294
0.0000 -4.8701 6.9294
Na Ce Pu Se
3 1 3 8
Cartesian
-2.1088 -1.2175 6.9294
-2.1088 1.2175 13.8588
0.0000 2.4350 6.9294
0.0000 0.0000 10.3941
-4.2176 0.0000 10.3941
-2.1088 1.2175 3.4647
2.1088 1.2175 3.4647
-2.1170 -1.2223 11.9612
0.0000 0.0000 5.0455
0.0000 -2.4445 8.8269
-2.1170 1.2223 8.8269
2.1170 -1.2223 11.9613
0.0000 2.4445 11.9613
0.0000 0.0000 15.7427
2.1170 1.2223 8.8270
```

raw formation energy = -1.45 eV/atom
space-group type = R-3m



[3]
# RbSnSN2

A relaxed structure of RbSnSN2 (PBE, Alexandria).

Geometry as POSCAR:
```
RbSnSN2
1.0
4.9634 0.0000 0.0000
0.0000 4.9634 0.0000
0.0000 0.0000 6.2443
Rb Sn S N
1 1 1 2
Cartesian
0.0000 0.0000 0.0000
2.4817 2.4817 3.1222
0.0000 0.0000 3.1222
0.0000 2.4817 0.0000
2.4817 0.0000 0.0000
```

raw formation energy = 2.05 eV/atom
space-group type = P4/mmm



[4]
# LiZrAg

A relaxed structure of LiZrAg (PBE, Alexandria).

Geometry as POSCAR:
```
LiZrAg
1.0
4.7072 0.0000 0.0000
-2.3536 4.0765 0.0000
0.0000 0.0000 2.8751
Li Zr Ag
1 1 1
Cartesian
0.0000 0.0000 0.0000
2.3536 1.3588 1.4290
0.0000 2.7177 2.8617
```

ΔH_f (0 K) = 34 meV per atom
space-group type = P3m1



[5]
# Fe2CoNi

A relaxed structure of Fe2CoNi (PBE, Alexandria).

Geometry as POSCAR:
```
Fe2CoNi
1.0
2.4945 0.0000 0.0000
0.0000 3.5862 0.0000
0.0000 0.0000 5.0938
Fe Co Ni
2 1 1
Cartesian
0.0000 0.0000 0.0000
1.2473 1.7931 1.3497
1.2473 1.7931 3.8618
0.0000 0.0000 2.5798
```

ΔH_f (0 K) = 28 meV per atom
space-group type = Pmm2



[6]
# NbBr4Cl

A relaxed structure of NbBr4Cl (PBE, Alexandria).

Geometry as POSCAR:
```
NbBr4Cl
1.0
4.9917 0.0000 0.0000
0.0000 14.8703 0.0000
-2.5157 0.0000 6.9103
Nb Br Cl
2 8 2
Cartesian
0.0000 0.0000 0.0000
-1.2578 7.4351 3.4552
-0.0001 1.8101 1.7229
-1.2579 5.6251 5.1781
-1.2557 9.1569 5.2653
0.0022 13.1486 1.8101
2.4739 1.7217 5.1002
3.7317 5.7134 1.6450
3.7340 9.2452 1.7322
2.4761 13.0602 5.1874
2.4959 0.0000 0.0000
1.2380 7.4351 3.4552
```

raw formation energy = -0.83 eV/atom
space-group type = P2_1/c



[7]
# Nd5SmDyTm2

A relaxed structure of Nd5SmDyTm2 (PBE, Alexandria).

Geometry as POSCAR:
```
Nd5SmDyTm2
1.0
2.8264 -10.2002 0.0000
2.8264 10.2002 0.0000
0.0000 0.0000 10.7368
Nd Sm Dy Tm
10 2 2 4
Cartesian
2.8264 9.8723 5.3684
2.8264 4.4722 8.4825
2.8264 4.1415 1.9802
2.8264 2.2681 5.4052
2.8264 0.3915 2.3826
2.8264 -0.3915 7.7510
2.8264 -2.2681 0.0368
2.8264 -4.1415 7.3486
2.8264 -4.4722 3.1141
2.8264 -9.8723 0.0000
2.8264 6.1233 5.2606
2.8264 -6.1233 10.6290
2.8264 1.8327 10.0689
2.8264 -1.8327 4.7005
2.8264 7.9371 2.3512
2.8264 7.8469 8.5163
2.8264 -7.8469 3.1479
2.8264 -7.9371 7.7196
```

ΔH_f (0 K) = 147 meV per atom
space-group type = Cmc2_1



[8]
# PuTl2Pt3O12

A relaxed structure of PuTl2Pt3O12 (PBE, Alexandria).

Geometry as POSCAR:
```
PuTl2Pt3O12
1.0
3.6069 2.0825 6.2261
-3.6069 2.0825 6.2261
0.0000 -4.1649 6.2261
Pu Tl Pt O
1 2 3 12
Cartesian
0.0000 0.0000 0.0000
0.0000 0.0000 7.3310
0.0000 0.0000 11.3472
-3.6069 0.0000 9.3391
-1.8035 1.0412 3.1130
1.8035 1.0412 3.1130
0.0000 -2.5246 5.0643
-2.1863 1.2623 5.0643
-2.1209 -1.2245 8.8949
-2.1863 -1.2623 13.6138
0.0000 -2.4490 9.7833
-2.1209 1.2245 9.7833
2.1209 -1.2245 8.8949
0.0000 2.4490 8.8949
2.1863 1.2623 5.0644
2.1209 1.2245 9.7832
2.1863 -1.2623 13.6138
0.0000 2.5246 13.6138
```

raw formation energy = -0.90 eV/atom
space-group type = R-3m



[9]
# LiDyYSe3

A relaxed structure of LiDyYSe3 (PBE, Alexandria).

Geometry as POSCAR:
```
LiDyYSe3
1.0
8.3576 0.0000 0.0000
0.0000 3.9498 0.0000
-1.9210 0.0000 8.5358
Li Dy Y Se
2 2 2 6
Cartesian
0.5604 0.9875 0.7130
5.8762 2.9624 7.8228
2.1664 2.9624 2.8526
4.2703 0.9875 5.6832
0.1648 0.9875 6.1707
6.2719 2.9624 2.3651
0.0458 0.9875 3.1693
-0.0377 2.9624 8.4759
2.2359 2.9624 5.7466
4.2007 0.9875 2.7892
6.4743 0.9875 0.0599
6.3909 2.9624 5.3665
```

raw formation energy = -1.63 eV/atom
space-group type = P2_1/m



[10]
# NaLa2SbO5

A relaxed structure of NaLa2SbO5 (PBE, Alexandria).

Geometry as POSCAR:
```
NaLa2SbO5
1.0
6.9655 0.0000 0.0000
0.0000 6.9655 0.0000
0.0000 0.0000 6.3386
Na La Sb O
2 4 2 10
Cartesian
0.0000 0.0000 0.0000
3.4827 3.4827 0.0000
1.2495 2.2333 3.1693
2.2333 5.7160 3.1693
4.7322 1.2495 3.1693
5.7160 4.7322 3.1693
0.0000 3.4827 0.0000
3.4827 0.0000 0.0000
0.0000 0.0000 3.1693
0.9925 4.4752 1.6194
0.9925 4.4752 4.7192
2.4903 0.9925 1.6194
2.4903 0.9925 4.7192
3.4827 3.4827 3.1693
4.4752 5.9730 1.6194
4.4752 5.9730 4.7192
5.9730 2.4903 1.6194
5.9730 2.4903 4.7192
```

raw formation energy = -2.27 eV/atom
space-group type = P4/mbm



[11]
# Ho5Sc2

A relaxed structure of Ho5Sc2 (PBE, Alexandria).

Geometry as POSCAR:
```
Ho5Sc2
1.0
3.4658 0.0000 0.0000
1.7266 7.0348 0.0000
1.7125 -0.0778 8.6583
Ho Sc
5 2
Cartesian
0.0000 0.0000 0.0000
1.7283 2.4397 2.6245
3.4483 5.9788 3.2904
3.4565 0.9782 5.3680
5.1765 4.5173 6.0338
3.4423 2.5082 7.9458
3.4625 4.4489 0.7125
```

ΔH_f (0 K) = 192 meV per atom
space-group type = P-1



[12]
# La2Sm3PuSe6

A relaxed structure of La2Sm3PuSe6 (PBE, Alexandria).

Geometry as POSCAR:
```
La2Sm3PuSe6
1.0
9.1909 -2.1007 0.0000
9.1909 2.1007 0.0000
-1.9549 0.0000 8.2333
La Sm Pu Se
2 3 1 6
Cartesian
2.3870 0.0000 2.7278
14.0399 0.0000 5.5056
1.4482 0.0000 6.8812
8.2135 0.0000 4.1167
14.9787 0.0000 1.3522
9.1909 0.0000 0.0000
-1.4133 0.0000 6.2022
4.3433 0.0000 7.6016
5.3565 0.0000 3.3815
11.0704 0.0000 4.8519
12.0836 0.0000 0.6317
17.8402 0.0000 2.0311
```

raw formation energy = -1.84 eV/atom
space-group type = C2/m



[13]
# Pm4AgBr5

A relaxed structure of Pm4AgBr5 (PBE, Alexandria).

Geometry as POSCAR:
```
Pm4AgBr5
1.0
9.2475 -2.0386 0.0000
9.2475 2.0386 0.0000
-1.7663 0.0000 8.6980
Pm Ag Br
4 1 5
Cartesian
-0.3464 0.0000 2.0332
4.5895 0.0000 8.0804
12.1392 0.0000 0.6175
17.0751 0.0000 6.6648
9.2475 0.0000 0.0000
2.5513 0.0000 2.7965
1.6800 0.0000 7.1304
8.3644 0.0000 4.3490
15.0488 0.0000 1.5675
14.1774 0.0000 5.9015
```

raw formation energy = -1.27 eV/atom
space-group type = C2/m



[14]
# Pr8PdPt3Br4

A relaxed structure of Pr8PdPt3Br4 (PBE, Alexandria).

Geometry as POSCAR:
```
Pr8PdPt3Br4
1.0
4.2602 2.4596 7.7934
-4.2602 2.4596 7.7934
0.0000 -4.9193 7.7934
Pr Pd Pt Br
8 1 3 4
Cartesian
-2.1465 -1.2393 13.2445
0.0000 0.0000 5.4428
0.0000 -2.4785 10.1356
-2.1465 1.2393 10.1356
2.1465 -1.2393 13.2445
0.0000 2.4785 13.2445
0.0000 0.0000 17.9374
2.1465 1.2393 10.1356
0.0000 0.0000 11.6901
-4.2602 0.0000 11.6901
-2.1301 1.2298 3.8967
2.1301 1.2298 3.8967
0.0000 0.0000 0.0000
-2.1301 -1.2298 7.7934
-2.1301 1.2298 15.5868
0.0000 2.4596 7.7934
```

raw formation energy = -1.18 eV/atom
space-group type = R-3m



[15]
# La3ScB2N6

A relaxed structure of La3ScB2N6 (PBE, Alexandria).

Geometry as POSCAR:
```
La3ScB2N6
1.0
5.5392 0.0000 0.0000
-2.7696 4.7971 0.0000
0.0000 0.0000 6.3678
La Sc B N
3 1 2 6
Cartesian
0.0000 0.0000 0.0000
0.0000 3.1981 4.2704
2.7696 1.5990 2.0974
0.0000 0.0000 3.1839
0.0000 3.1981 1.6655
2.7696 1.5990 4.7023
0.0000 1.7403 1.8196
-1.2624 3.9269 1.8196
1.5072 0.8702 4.5482
1.2624 3.9269 1.8196
4.0320 0.8702 4.5482
2.7696 3.0568 4.5482
```

raw formation energy = -1.32 eV/atom
space-group type = P-3m1



[16]
# AcDyLu2

A relaxed structure of AcDyLu2 (PBE, Alexandria).

Geometry as POSCAR:
```
AcDyLu2
1.0
5.1801 0.0000 0.0000
0.0000 5.1801 0.0000
0.0000 0.0000 4.9811
Ac Dy Lu
1 1 2
Cartesian
0.0000 0.0000 0.0000
2.5900 2.5900 0.0000
0.0000 2.5900 2.4905
2.5900 0.0000 2.4905
```

ΔH_f (0 K) = 78 meV per atom
space-group type = P4/mmm



[17]
# Mn2Si2Ag

A relaxed structure of Mn2Si2Ag (PBE, Alexandria).

Geometry as POSCAR:
```
Mn2Si2Ag
1.0
3.8589 0.0000 0.0000
0.0000 3.8589 0.0000
0.0000 0.0000 9.9320
Mn Si Ag
4 4 2
Cartesian
0.0000 1.9294 2.4830
0.0000 1.9294 7.4490
1.9294 0.0000 2.4830
1.9294 0.0000 7.4490
0.0000 0.0000 1.1730
0.0000 0.0000 8.7590
1.9294 1.9294 3.7930
1.9294 1.9294 6.1390
0.0000 0.0000 4.9660
1.9294 1.9294 0.0000
```

raw formation energy = 0.07 eV/atom
space-group type = I4/mmm



[18]
# UNiH

A relaxed structure of UNiH (PBE, Alexandria).

Geometry as POSCAR:
```
UNiH
1.0
3.8587 0.0000 0.0000
-1.9294 3.3418 0.0000
0.0000 0.0000 3.2360
U Ni H
1 1 1
Cartesian
0.0000 0.0000 0.0000
1.9294 1.1139 1.6183
0.0000 2.2278 3.2290
```

total energy = -19.96 eV per cell
space-group type = P3m1



[19]
# BiSN2Cl

A relaxed structure of BiSN2Cl (PBE, Alexandria).

Geometry as POSCAR:
```
BiSN2Cl
1.0
4.0824 0.0000 0.0000
0.0000 4.0824 0.0000
0.0000 0.0000 4.7118
Bi S N Cl
1 1 2 1
Cartesian
0.0000 0.0000 0.0000
2.0412 2.0412 0.0000
0.0000 2.0412 2.3559
2.0412 0.0000 2.3559
2.0412 2.0412 2.3559
```

raw formation energy = 1.87 eV/atom
space-group type = P4/mmm



[20]
# TbPmPb

A relaxed structure of TbPmPb (PBE, Alexandria).

Geometry as POSCAR:
```
TbPmPb
1.0
11.6993 0.0000 0.0000
0.0000 12.0669 0.0000
0.0000 0.0000 3.4602
Tb Pm Pb
4 4 4
Cartesian
0.0000 2.8232 0.0000
0.0000 9.2437 0.0000
5.8496 3.2103 0.0000
5.8496 8.8566 0.0000
0.0000 0.0000 1.7301
0.0000 6.0334 0.0000
5.8496 0.0000 0.0000
5.8496 6.0334 1.7301
2.7654 6.0334 1.7301
3.0843 0.0000 1.7301
8.6150 0.0000 1.7301
8.9339 6.0334 1.7301
```

ΔH_f (0 K) = 433 meV per atom
space-group type = Cmmm